RbIn4Ir after structural relaxation, computed with GGA-PBE.

Cell lengths 8.868, 4.367, 8.587 Å; angles 90.00, 90.00, 90.00 degrees
Sites, in units of the cell vectors:
Rb (0.250, 0.000, 0.089)
Rb (0.750, 0.000, 0.911)
In (0.000, 0.000, 0.500)
In (0.072, 0.500, 0.776)
In (0.250, 0.500, 0.432)
In (0.428, 0.500, 0.776)
In (0.500, 0.000, 0.500)
In (0.572, 0.500, 0.224)
In (0.750, 0.500, 0.568)
In (0.928, 0.500, 0.224)
Ir (0.250, 0.000, 0.666)
Ir (0.750, 0.000, 0.334)

Calculated values
ΔE_f = -0.1081 eV/atom
Calculated volume = 27.7 Å³/atom
Total energy = -42.9 eV for the cell shown
Offset from the most stable computed form = 0 meV per atom
Density of states at the Fermi level = 8.17 states/eV/cell